1.
DFT (PBE) results for crystalline PrGd2Au at its relaxed geometry.

Output
Spin magnetization in μB/f.u.: 15.82
Total energy in eV/f.u.: -37.21
Calculated volume in Å³/f.u.: 111.9
Relative energy among the computed polymorphs in eV per atom: 0.154

Lattice parameters (Å, degrees): 4.6887 4.8850 4.8850 90.00 90.00 90.00
Closest atoms and distances in Å follow each position.
Fractional coordinates of all 4 atoms:
Pr 0.5000 0.0000 0.0000  8 Gd 3.39, 4 Au 3.45
Gd 0.0000 0.0000 0.5000  4 Au 3.39, 4 Pr 3.39, 4 Gd 3.45
Gd 0.0000 0.5000 0.0000  4 Au 3.39, 4 Pr 3.39, 4 Gd 3.45
Au 0.5000 0.5000 0.5000  8 Gd 3.39, 4 Pr 3.45


2.
DFT (PBE) results for crystalline BAs2SI at its relaxed geometry.

Output
ΔE_f (raw) in eV per atom: 0.810
Spin magnetization in μB/f.u.: 0.00
Total energy in eV/f.u.: -17.61
Calculated volume in Å³/f.u.: 93.5

Lattice parameters (Å, degrees): 4.7698 4.1086 4.7698 90.00 90.00 90.00
Closest atoms and distances in Å follow each position.
Fractional coordinates of all 5 atoms:
I 0.5000 0.5000 0.5000  8 As 3.15, 4 S 3.37
As 0.0000 0.0000 0.5000  2 B 2.38
As 0.5000 0.0000 0.0000  2 B 2.38
B 0.0000 0.0000 0.0000  2 S 2.05
S 0.0000 0.5000 0.0000  2 B 2.05